1.
# RbBa2NdSe4

Crystalline RbBa2NdSe4 at its relaxed geometry (PBE, Alexandria).

Cell: 7.881 4.598 8.115 Å, 90.00 108.75 90.00°
Fractional positions:
Rb 0.000 0.000 0.000
Ba 0.500 0.000 0.500
Ba 0.500 0.500 0.000
Nd 0.000 0.500 0.500
Se 0.230 0.000 0.725
Se 0.240 0.500 0.278
Se 0.760 0.500 0.722
Se 0.770 0.000 0.275

As for the total energy: -4.73 eV/atom. The value obtained for the energy relative to the elements, uncorrected is -1795 meV/atom.


2.
# RbMg2RuS

Crystalline RbMg2RuS at its relaxed geometry (PBE, Alexandria).

Cell: 5.893 5.893 5.440 Å, 90.00 90.00 90.00°
Fractional positions:
Rb 0.000 0.000 0.000
Mg 0.000 0.500 0.000
Mg 0.500 0.000 0.000
Ru 0.500 0.500 0.500
S 0.000 0.000 0.500

As for the total energy: -1.74 eV/atom. The value obtained for the energy relative to the elements, uncorrected is 1768 meV/atom. The density of states at the Fermi level is 1.295 states/eV/atom.


3.
# Li2AcC2O6

Crystalline Li2AcC2O6 at its relaxed geometry (PBE, Alexandria).

Cell: 5.049 5.049 7.843 Å, 90.00 90.00 120.00°
Fractional positions:
Li 0.333 0.667 0.312
Li 0.667 0.333 0.688
Ac 0.000 0.000 0.000
C 0.333 0.667 0.818
C 0.667 0.333 0.182
O 0.046 0.587 0.820
O 0.413 0.459 0.820
O 0.459 0.046 0.180
O 0.541 0.954 0.820
O 0.587 0.541 0.180
O 0.954 0.413 0.180

As for the total energy: -6.99 eV/atom. The value obtained for the energy relative to the elements, uncorrected is -1885 meV/atom. The density of states at the Fermi level is 0.138 states/eV/atom.


4.
# TiMnP2Rh

Crystalline TiMnP2Rh at its relaxed geometry (PBE, Alexandria).

Cell: 4.288 4.288 4.542 Å, 90.00 90.00 90.00°
Fractional positions:
Ti 0.000 0.000 0.000
Mn 0.500 0.500 0.500
P 0.000 0.500 0.500
P 0.500 0.000 0.500
Rh 0.500 0.500 0.000

As for the total energy: -6.62 eV/atom. The density of states at the Fermi level is 1.249 states/eV/atom.


5.
# TlTeC3

Crystalline TlTeC3 at its relaxed geometry (PBE, Alexandria).

Cell: 4.472 4.472 4.472 Å, 90.00 90.00 90.00°
Fractional positions:
Tl 0.000 0.000 0.000
Te 0.500 0.500 0.500
C 0.000 0.000 0.500
C 0.000 0.500 0.000
C 0.500 0.000 0.000

As for the total energy: -3.29 eV/atom. The value obtained for the energy relative to the elements, uncorrected is 3343 meV/atom. The density of states at the Fermi level is 0.559 states/eV/atom. As for the offset from the most stable computed form: 532 meV per atom.


6.
# Hf2TiH

Crystalline Hf2TiH at its relaxed geometry (PBE, Alexandria).

Cell: 4.608 4.608 4.608 Å, 60.00 60.00 60.00°
Fractional positions:
Hf 0.250 0.250 0.250
Hf 0.750 0.750 0.750
Ti 0.000 0.000 0.000
H 0.500 0.500 0.500

As for the total energy: -7.01 eV/atom. The density of states at the Fermi level is 1.476 states/eV/atom. As for the offset from the most stable computed form: 881 meV per atom.


7.
# Pm2Cu3Hg

Crystalline Pm2Cu3Hg at its relaxed geometry (PBE, Alexandria).

Cell: 8.918 8.524 5.828 Å, 74.18 66.87 38.96°
Fractional positions:
Pm 0.242 0.758 0.758
Pm 0.250 0.250 0.250
Pm 0.750 0.750 0.750
Pm 0.758 0.242 0.242
Cu 0.160 0.160 0.840
Cu 0.160 0.679 0.321
Cu 0.321 0.840 0.160
Cu 0.679 0.160 0.840
Cu 0.840 0.321 0.679
Cu 0.840 0.840 0.160
Hg 0.334 0.334 0.666
Hg 0.666 0.666 0.334

As for the total energy: -3.93 eV/atom. The density of states at the Fermi level is 0.643 states/eV/atom. As for the offset from the most stable computed form: 0 meV per atom.


8.
# Na2CrN2

Crystalline Na2CrN2 at its relaxed geometry (PBE, Alexandria).

Cell: 2.971 2.971 8.835 Å, 90.00 90.00 120.00°
Fractional positions:
Na 0.333 0.667 0.198
Na 0.667 0.333 0.802
Cr 0.000 0.000 0.500
N 0.333 0.667 0.619
N 0.667 0.333 0.381

As for the total energy: -5.87 eV/atom. The value obtained for the energy relative to the elements, uncorrected is -85 meV/atom. The density of states at the Fermi level is 0.534 states/eV/atom.


9.
# ScSeI

Crystalline ScSeI at its relaxed geometry (PBE, Alexandria).

Cell: 6.864 6.864 7.235 Å, 100.38 100.38 33.24°
Fractional positions:
Sc 0.000 0.000 0.000
Sc 0.239 0.239 0.767
Se 0.614 0.614 0.895
Se 0.858 0.858 0.691
I 0.119 0.119 0.395
I 0.369 0.369 0.155

As for the total energy: -5.18 eV/atom. The value obtained for the energy relative to the elements, uncorrected is -1395 meV/atom.


10.
# TlGaCo2S

Crystalline TlGaCo2S at its relaxed geometry (PBE, Alexandria).

Cell: 4.194 4.194 5.472 Å, 90.00 90.00 90.00°
Fractional positions:
Tl 0.000 0.000 0.000
Ga 0.500 0.500 0.000
Co 0.000 0.500 0.500
Co 0.500 0.000 0.500
S 0.500 0.500 0.500

As for the total energy: -4.43 eV/atom. The value obtained for the energy relative to the elements, uncorrected is 317 meV/atom. The density of states at the Fermi level is 1.162 states/eV/atom.


11.
# Pm4Dy5Er

Crystalline Pm4Dy5Er at its relaxed geometry (PBE, Alexandria).

Cell: 8.780 8.780 11.158 Å, 90.07 90.07 23.21°
Fractional positions:
Pm 0.030 0.030 0.249
Pm 0.345 0.345 0.250
Pm 0.655 0.655 0.750
Pm 0.970 0.970 0.751
Dy 0.173 0.173 0.052
Dy 0.174 0.174 0.447
Dy 0.500 0.500 0.500
Dy 0.826 0.826 0.553
Dy 0.827 0.827 0.948
Er 0.500 0.500 0.000

As for the total energy: -4.47 eV/atom. The density of states at the Fermi level is 1.329 states/eV/atom. As for the offset from the most stable computed form: 0 meV per atom.


12.
# Sb2Au

Crystalline Sb2Au at its relaxed geometry (PBE, Alexandria).

Cell: 11.967 11.967 11.967 Å, 162.36 162.36 25.05°
Fractional positions:
Sb 0.310 0.560 0.750
Sb 0.440 0.690 0.750
Sb 0.560 0.310 0.250
Sb 0.690 0.440 0.250
Au 0.125 0.875 0.250
Au 0.875 0.125 0.750

As for the total energy: -3.66 eV/atom. The value obtained for the energy relative to the elements, uncorrected is 181 meV/atom. The density of states at the Fermi level is 0.527 states/eV/atom.